Computed, not measured: YHo4Tl after structural relaxation at the GGA-PBE level of DFT.

Unit cell a=10.494 b=6.049 c=11.757 alpha=90.00 beta=107.82 gamma=90.00
Space group C2/c (No. 15)
Inequivalent atoms, fractional coordinates:
Y 0.250 0.250 0.000 [4 per cell]
Ho 0.080 0.241 0.499 [8 per cell]
Ho 0.167 0.417 0.250 [8 per cell]
Tl 0.000 0.088 0.750 [4 per cell]

Output
The calculation puts the formation energy at -0.060 eV/atom. The calculation puts the density at 8.91 g cm⁻³. The calculation puts the energy at -4.584 eV/atom.